8
Lattice="-2.570 2.570 7.649 2.570 -2.570 7.649 2.570 2.570 -7.649" Properties=species:S:1:pos:R:3 comment="PBE Sm2ErCd5, relaxed" formation_enthalpy_0k_ev_per_atom=-0.296 crystal_system=tetragonal mass_density_g_cm3=8.47 pbc="T T T"
Sm 0.000 0.000 3.654
Sm 0.000 0.000 11.643
Er 0.000 0.000 7.649
Cd 0.000 0.000 0.000
Cd 2.570 0.000 1.761
Cd 2.570 0.000 5.888
Cd 0.000 2.570 1.761
Cd 0.000 2.570 5.888